A:
## Sr2OsO4 (PBE)

Data for a relaxed structure of Sr2OsO4.

a = 6.3270 Å, b = 5.6804 Å, c = 6.8945 Å
α = 90.00°, β = 108.09°, γ = 90.00°
Closest atoms and distances in Å follow each position.
Atoms (fractional coordinates):
Sr  0.1919  0.2500  0.0323  6 O 2.53-2.63
Sr  0.2689  0.2500  0.5637  4 O 2.53-2.65
Sr  0.7311  0.7500  0.4363  4 O 2.53-2.65
Sr  0.8081  0.7500  0.9677  6 O 2.53-2.63
Os  0.2656  0.7500  0.7924  4 O 1.86-1.98
Os  0.7344  0.2500  0.2076  4 O 1.86-1.98
O  0.0110  0.5324  0.7457  1 Os 1.98
O  0.0110  0.9676  0.7457  1 Os 1.98
O  0.4380  0.7500  0.0658  1 Os 1.86
O  0.4648  0.7500  0.6436  1 Os 1.86
O  0.5352  0.2500  0.3564  1 Os 1.86
O  0.5620  0.2500  0.9342  1 Os 1.86
O  0.9890  0.0324  0.2543  1 Os 1.98
O  0.9890  0.4676  0.2543  1 Os 1.98

B:
## Sr2OsO4 (PBE)

Data for a relaxed structure of Sr2OsO4.

a = 6.8822 Å, b = 6.8822 Å, c = 6.8822 Å
α = 106.49°, β = 106.49°, γ = 115.61°
Closest atoms and distances in Å follow each position.
Atoms (fractional coordinates):
Sr  0.0779  0.1250  0.4529  6 O 2.53-2.57
Sr  0.3750  0.9221  0.0471  6 O 2.53-2.57
Sr  0.6721  0.6250  0.5471  6 O 2.53-2.57
Sr  0.8750  0.3279  0.9529  6 O 2.53-2.57
Os  0.2500  0.7500  0.5000  4 O 1.93
Os  0.5000  0.5000  0.0000  4 O 1.93
O  0.1112  0.7835  0.2349  1 Os 1.93
O  0.1237  0.8888  0.6723  1 Os 1.93
O  0.2014  0.4665  0.8277  1 Os 1.93
O  0.2165  0.4514  0.3277  1 Os 1.93
O  0.5335  0.3612  0.7349  1 Os 1.93
O  0.5486  0.8763  0.7651  1 Os 1.93
O  0.6263  0.7986  0.2651  1 Os 1.93
O  0.6388  0.3737  0.1723  1 Os 1.93

It is B that is most stable; the runner-up trails by 5.6 kJ/mol of atoms.

A:
## Sr2OsO6 (PBE)

Data for a relaxed structure of Sr2OsO6.

a = 5.7266 Å, b = 6.4164 Å, c = 9.2599 Å
α = 90.00°, β = 122.21°, γ = 90.00°
Closest atoms and distances in Å follow each position.
Atoms (fractional coordinates):
Sr  0.2129  0.0877  0.2494  7 O 2.49-2.72
Sr  0.2129  0.4123  0.7494  7 O 2.49-2.72
Sr  0.7871  0.5877  0.2506  7 O 2.49-2.72
Sr  0.7871  0.9123  0.7506  7 O 2.49-2.72
Os  0.5000  0.0000  0.0000  6 O 1.86-1.89
Os  0.5000  0.5000  0.5000  6 O 1.86-1.89
O  0.1790  0.1423  0.9548  1 Os 1.89
O  0.1790  0.3577  0.4548  1 Os 1.89
O  0.3038  0.7477  0.9292  1 Os 1.88
O  0.3038  0.7523  0.4292  1 Os 1.88
O  0.4056  0.0528  0.7772  1 Os 1.86
O  0.4056  0.4472  0.2772  1 Os 1.86
O  0.5944  0.5528  0.7228  1 Os 1.86
O  0.5944  0.9472  0.2228  1 Os 1.86
O  0.6962  0.2477  0.5708  1 Os 1.88
O  0.6962  0.2523  0.0708  1 Os 1.88
O  0.8210  0.6423  0.5452  1 Os 1.89
O  0.8210  0.8577  0.0452  1 Os 1.89

B:
## Sr2OsO6 (PBE)

Data for a relaxed structure of Sr2OsO6.

a = 5.2759 Å, b = 5.2759 Å, c = 10.4886 Å
α = 90.00°, β = 90.00°, γ = 90.00°
Closest atoms and distances in Å follow each position.
Atoms (fractional coordinates):
Sr  0.0000  0.0000  0.1682  6 O 2.46-2.57
Sr  0.0000  0.0000  0.8318  6 O 2.46-2.57
Sr  0.5000  0.5000  0.3318  6 O 2.46-2.57
Sr  0.5000  0.5000  0.6682  6 O 2.46-2.57
Os  0.0000  0.0000  0.5000  6 O 1.87-1.88
Os  0.5000  0.5000  0.0000  6 O 1.87-1.88
O  0.1748  0.1748  0.3707  1 Os 1.88
O  0.1748  0.1748  0.6293  1 Os 1.88
O  0.2499  0.2499  0.0000  1 Os 1.87
O  0.2501  0.7499  0.5000  1 Os 1.87
O  0.3252  0.6748  0.1293  1 Os 1.88
O  0.3252  0.6748  0.8707  1 Os 1.88
O  0.6748  0.3252  0.1293  1 Os 1.88
O  0.6748  0.3252  0.8707  1 Os 1.88
O  0.7499  0.2501  0.5000  1 Os 1.87
O  0.7501  0.7501  0.0000  1 Os 1.87
O  0.8252  0.8252  0.3707  1 Os 1.88
O  0.8252  0.8252  0.6293  1 Os 1.88

It is A that is most stable; the runner-up trails by 4.4 kJ/mol of atoms.

A:
## SrOsO4 (PBE)

Data for a relaxed structure of SrOsO4.

a = 6.9127 Å, b = 6.9127 Å, c = 5.0975 Å
α = 108.86°, β = 108.86°, γ = 116.08°
Closest atoms and distances in Å follow each position.
Atoms (fractional coordinates):
Sr  0.1366  0.8634  0.7500  8 O 2.50-2.76
Sr  0.8634  0.1366  0.2500  8 O 2.50-2.76
Os  0.4101  0.5899  0.2500  4 O 1.83-1.88
Os  0.5899  0.4101  0.7500  4 O 1.83-1.88
O  0.1607  0.5547  0.3287  1 Os 1.83
O  0.2551  0.3201  0.8175  1 Os 1.88
O  0.3201  0.2551  0.3175  1 Os 1.88
O  0.4453  0.8393  0.1713  1 Os 1.83
O  0.5547  0.1607  0.8287  1 Os 1.83
O  0.6799  0.7449  0.6825  1 Os 1.88
O  0.7449  0.6799  0.1825  1 Os 1.88
O  0.8393  0.4453  0.6713  1 Os 1.83

B:
## SrOsO4 (PBE)

Data for a relaxed structure of SrOsO4.

a = 5.9777 Å, b = 5.2140 Å, c = 5.5020 Å
α = 90.00°, β = 103.08°, γ = 90.00°
Closest atoms and distances in Å follow each position.
Atoms (fractional coordinates):
Sr  0.0000  0.0000  0.0000  6 O 2.39-2.68
Sr  0.0000  0.5000  0.5000  6 O 2.39-2.68
Os  0.5000  0.0000  0.5000  6 O 1.86-1.99
Os  0.5000  0.5000  0.0000  6 O 1.86-1.99
O  0.1982  0.1180  0.4288  1 Os 1.86
O  0.1982  0.3820  0.9288  1 Os 1.86
O  0.4044  0.7207  0.6992  2 Os 1.98-1.99
O  0.4044  0.7793  0.1992  2 Os 1.98-1.99
O  0.5956  0.2207  0.8008  2 Os 1.98-1.99
O  0.5956  0.2793  0.3008  2 Os 1.98-1.99
O  0.8018  0.6180  0.0712  1 Os 1.86
O  0.8018  0.8820  0.5712  1 Os 1.86

It is A that is most stable; the runner-up trails by 4.6 kJ/mol of atoms.

A:
## Ta2Os2O (PBE)

Data for a relaxed structure of Ta2Os2O.

a = 7.2249 Å, b = 7.2249 Å, c = 3.1327 Å
α = 90.00°, β = 90.00°, γ = 90.00°
Closest atoms and distances in Å follow each position.
Atoms (fractional coordinates):
Ta  0.1640  0.3360  0.0000  6 Os 2.59-2.67, 2 O 2.70
Ta  0.3360  0.8360  0.0000  6 Os 2.59-2.67, 2 O 2.70
Ta  0.6640  0.1640  0.0000  6 Os 2.59-2.67, 2 O 2.70
Ta  0.8360  0.6640  0.0000  6 Os 2.59-2.67, 2 O 2.70
Os  0.1339  0.6339  0.5000  6 Ta 2.59-2.67, 1 Os 2.74
Os  0.3661  0.1339  0.5000  6 Ta 2.59-2.67, 1 Os 2.74
Os  0.6339  0.8661  0.5000  6 Ta 2.59-2.67, 1 Os 2.74
Os  0.8661  0.3661  0.5000  6 Ta 2.59-2.67, 1 Os 2.74
O  0.0000  0.0000  0.0000  4 Ta 2.70
O  0.5000  0.5000  0.0000  4 Ta 2.70

B:
## Ta2Os2O (PBE)

Data for a relaxed structure of Ta2Os2O.

a = 3.7567 Å, b = 3.7567 Å, c = 13.1189 Å
α = 90.00°, β = 90.00°, γ = 90.00°
Closest atoms and distances in Å follow each position.
Atoms (fractional coordinates):
Ta  0.0000  0.0000  0.1171  4 Os 2.56
Ta  0.0000  0.0000  0.8829  4 Os 2.56
Ta  0.5000  0.5000  0.3829  4 Os 2.56
Ta  0.5000  0.5000  0.6171  4 Os 2.56
Os  0.0000  0.5000  0.2500  4 Ta 2.56, 4 Os 2.66
Os  0.0000  0.5000  0.7500  4 Ta 2.56, 4 Os 2.66
Os  0.5000  0.0000  0.2500  4 Ta 2.56, 4 Os 2.66
Os  0.5000  0.0000  0.7500  4 Ta 2.56, 4 Os 2.66
O  0.0000  0.0000  0.5000  8 Ta 3.07
O  0.5000  0.5000  0.0000  8 Ta 3.07

It is A that is most stable; the runner-up trails by 27.2 kJ/mol of atoms.